Compound: BaUHgCl6
Source: the Alexandria database
Functional: PBE-GGA
Structure: optimized geometry

a b c (Å): 7.7895 7.7895 16.4311
angles (deg): 90.00 90.00 120.00
Positions (direct):
Ba1 0.6667 0.3333 0.7500
Ba2 0.3333 0.6667 0.2500
Cl1 0.0452 0.6452 0.8416
Cl2 0.9548 0.6000 0.3416
Cl3 0.6000 0.9548 0.8416
Cl4 0.3548 0.4000 0.8416
Cl5 0.3548 0.9548 0.6584
Cl6 0.0452 0.4000 0.6584
Cl7 0.6000 0.6452 0.6584
Cl8 0.4000 0.3548 0.3416
Cl9 0.6452 0.6000 0.1584
Cl10 0.4000 0.0452 0.1584
Cl11 0.6452 0.0452 0.3416
Cl12 0.9548 0.3548 0.1584
Hg1 0.0000 0.0000 0.5000
Hg2 0.0000 0.0000 0.0000
U1 0.6667 0.3333 0.2500
U2 0.3333 0.6667 0.7500

Computed properties:
Its symmetry is No. 163. The uncorrected formation energy comes out at -1.7699 eV per atom.

Compound: BaZn2HgCl8
Source: the Alexandria database
Functional: PBE-GGA
Structure: optimized geometry

a b c (Å): 6.3659 6.3659 9.7556
angles (deg): 70.96 70.96 60.00
Positions (direct):
Cl1 0.7045 0.0835 0.8212
Cl2 0.0835 0.3908 0.8212
Cl3 0.6092 0.2955 0.1788
Cl4 0.8315 0.8315 0.5056
Cl5 0.3908 0.7045 0.8212
Cl6 0.9165 0.6092 0.1788
Cl7 0.2955 0.9165 0.1788
Cl8 0.1685 0.1685 0.4944
Zn1 0.2526 0.2526 0.2421
Zn2 0.7474 0.7474 0.7579
Ba1 0.5000 0.5000 0.5000
Hg1 0.0000 0.0000 0.0000

Computed properties:
Its symmetry is No. 148. The uncorrected formation energy comes out at -1.2835 eV per atom.

Compound: Ba2HoCl7
Source: the Alexandria database
Functional: PBE-GGA
Structure: optimized geometry

a b c (Å): 15.6453 6.9697 10.6526
angles (deg): 89.35 90.00 90.00
Positions (direct):
Cl1 0.2276 0.5029 0.2925
Cl2 0.7580 0.0123 0.6998
Cl3 0.3941 0.9864 0.0849
Cl4 0.0387 0.1974 0.2123
Cl5 0.6059 0.0136 0.9151
Cl6 0.2724 0.5029 0.7925
Cl7 0.2580 0.9877 0.8002
Cl8 0.6373 0.1991 0.4756
Cl9 0.5387 0.8026 0.2877
Cl10 0.0701 0.3806 0.8766
Cl11 0.4613 0.1974 0.7123
Cl12 0.3955 0.5021 0.0722
Cl13 0.8955 0.4979 0.4278
Cl14 0.1045 0.5021 0.5722
Cl15 0.9299 0.6194 0.1234
Cl16 0.6045 0.4979 0.9278
Cl17 0.7724 0.4971 0.7075
Cl18 0.2420 0.9877 0.3002
Cl19 0.8627 0.1991 0.9756
Cl20 0.4299 0.3806 0.3766
Cl21 0.5701 0.6194 0.6234
Cl22 0.1373 0.8009 0.0244
Cl23 0.7276 0.4971 0.2075
Cl24 0.7420 0.0123 0.1998
Cl25 0.3627 0.8009 0.5244
Cl26 0.1059 0.9864 0.5849
Cl27 0.9613 0.8026 0.7877
Cl28 0.8941 0.0136 0.4151
Ho1 0.6274 0.2793 0.7195
Ho2 0.8726 0.2793 0.2195
Ho3 0.3726 0.7207 0.2805
Ho4 0.1274 0.7207 0.7805
Ba1 0.7806 0.7687 0.9522
Ba2 0.9401 0.2332 0.6759
Ba3 0.0599 0.7668 0.3241
Ba4 0.5599 0.2332 0.1759
Ba5 0.4401 0.7668 0.8241
Ba6 0.2194 0.2313 0.0478
Ba7 0.7194 0.7687 0.4522
Ba8 0.2806 0.2313 0.5478

Computed properties:
Its symmetry is No. 14. The uncorrected formation energy comes out at -2.4400 eV per atom.